No. 1
## KRb2TcI6 (GGA-PBE)

Data for a relaxed structure of KRb2TcI6.

Geometry as CIF:
```
data_KRb2TcI6
_space_group_name_H-M_alt 'R -3 m'
_space_group_IT_number 166
_space_group_name_Hall '-R 3 2"'
_cell_length_a 8.2191
_cell_length_b 8.2191
_cell_length_c 49.8892
_cell_angle_alpha 90.00
_cell_angle_beta 90.00
_cell_angle_gamma 120.00
loop_
_atom_site_label
_atom_site_type_symbol
_atom_site_fract_x
_atom_site_fract_y
_atom_site_fract_z
K1 K 0.0000 0.0000 0.0846
Rb1 Rb 0.0000 0.0000 0.1905
Rb2 Rb 0.0000 0.0000 0.3586
Tc1 Tc 0.0000 0.0000 0.0000
Tc2 Tc 0.0000 0.0000 0.5000
I1 I 0.0139 0.5070 0.6345
I2 I 0.0179 0.5090 0.1991
```

No. 2
## KRb2TcI6 (GGA-PBE)

Data for a relaxed structure of KRb2TcI6.

Geometry as CIF:
```
data_KRb2TcI6
_space_group_name_H-M_alt 'F m -3 m'
_space_group_IT_number 225
_space_group_name_Hall '-F 4 2 3'
_cell_length_a 12.1949
_cell_length_b 12.1949
_cell_length_c 12.1949
_cell_angle_alpha 90.00
_cell_angle_beta 90.00
_cell_angle_gamma 90.00
loop_
_atom_site_label
_atom_site_type_symbol
_atom_site_fract_x
_atom_site_fract_y
_atom_site_fract_z
K1 K 0.0000 0.0000 0.0000
Rb1 Rb 0.2500 0.2500 0.2500
Tc1 Tc 0.0000 0.0000 0.5000
I1 I 0.0000 0.0000 0.2743
```

No. 3
## KRbTeI2 (GGA-PBE)

Data for a relaxed structure of KRbTeI2.

Geometry as CIF:
```
data_KRbTeI2
_space_group_name_H-M_alt 'P 4/m m m'
_space_group_IT_number 123
_space_group_name_Hall '-P 4 2'
_cell_length_a 6.6709
_cell_length_b 6.6709
_cell_length_c 6.4578
_cell_angle_alpha 90.00
_cell_angle_beta 90.00
_cell_angle_gamma 90.00
loop_
_atom_site_label
_atom_site_type_symbol
_atom_site_fract_x
_atom_site_fract_y
_atom_site_fract_z
K1 K 0.0000 0.0000 0.0000
Rb1 Rb 0.5000 0.5000 0.5000
Te1 Te 0.0000 0.0000 0.5000
I1 I 0.0000 0.5000 0.0000
```

No. 4
## KRbTeI2 (GGA-PBE)

Data for a relaxed structure of KRbTeI2.

Geometry as CIF:
```
data_KRbTeI2
_space_group_name_H-M_alt 'P 4/m m m'
_space_group_IT_number 123
_space_group_name_Hall '-P 4 2'
_cell_length_a 6.9162
_cell_length_b 6.9162
_cell_length_c 6.6825
_cell_angle_alpha 90.00
_cell_angle_beta 90.00
_cell_angle_gamma 90.00
loop_
_atom_site_label
_atom_site_type_symbol
_atom_site_fract_x
_atom_site_fract_y
_atom_site_fract_z
K1 K 0.0000 0.0000 0.0000
Rb1 Rb 0.5000 0.5000 0.5000
Te1 Te 0.5000 0.5000 0.0000
I1 I 0.0000 0.5000 0.5000
```

| no. | distance to the lowest polymorph of the same formula (meV/atom) | ρ (g/cm³) | DFT total energy (eV for the cell shown) |
| --- | --- | --- | --- |
| 1 | 0 | 3.65 | -187.05 |
| 2 | 26 | 3.92 | -123.67 |
| 3 | 0 | 2.92 | -11.19 |
| 4 | 96 | 2.63 | -10.71 |